VASP calculation (PBE) on crystalline CaDy2P at its relaxed geometry.

The structure in POSCAR format:
```
CaDy2P
1.0
-0.577 2.259 3.042
-2.260 -1.179 2.862
7.094 -3.818 6.595
P Ca Dy
1 1 2
Cartesian
2.129 -1.369 6.249 P
0.000 0.000 0.000 Ca
4.322 -2.378 5.000 Dy
-0.065 -0.361 7.499 Dy
```

Values from the calculation:
The volume comes out at 32.4 A^3/atom. The space-group type is R-3m (166). Its density of states at the Fermi level is 1.319 states/eV per atom. Its total energy is -4.751 eV/atom.

VASP calculation (PBE) on crystalline CaDy5P6 at its relaxed geometry.

The structure in POSCAR format:
```
CaDy5P6
1.0
-0.307 6.757 -1.683
3.241 -4.504 -4.219
-6.629 -1.808 -1.243
P Ca Dy
6 1 5
Cartesian
-1.534 2.028 -1.386 P
-3.365 2.242 -4.898 P
-4.199 -0.774 -2.436 P
0.505 1.220 -4.710 P
-0.329 -1.797 -2.248 P
-2.160 -1.583 -5.759 P
0.000 0.000 0.000 Ca
-3.035 3.992 -2.724 Dy
0.874 3.010 -2.527 Dy
-1.847 0.223 -3.573 Dy
2.060 -0.756 -3.375 Dy
-0.660 -3.547 -4.422 Dy
```

Values from the calculation:
The volume comes out at 23.1 A^3/atom. The space-group type is C2/m (12). Its density of states at the Fermi level is 0.322 states/eV per atom. Its total energy is -6.271 eV/atom.

VASP calculation (PBE) on crystalline CaDy2PaP4 at its relaxed geometry.

The structure in POSCAR format:
```
CaDy2PaP4
1.0
-1.672 3.653 -4.014
-5.410 -0.791 1.534
3.968 2.842 4.951
Ca Dy Pa P
1 2 1 4
Cartesian
-3.541 1.431 -1.240 Ca
-2.492 1.741 2.622 Dy
0.000 0.000 0.000 Dy
-0.623 3.963 -0.152 Pa
-0.416 6.027 1.641 P
-0.829 1.898 -1.945 P
-3.324 3.601 0.645 P
0.210 2.103 1.826 P
```

Values from the calculation:
The volume comes out at 22.9 A^3/atom. The space-group type is I-4m2 (119). Its density of states at the Fermi level is 0.417 states/eV per atom. Its total energy is -6.723 eV/atom.

VASP calculation (PBE) on crystalline Ca2DyPaP4 at its relaxed geometry.

The structure in POSCAR format:
```
Ca2DyPaP4
1.0
-0.511 2.944 -2.801
1.989 -4.452 -5.043
-6.991 -0.408 0.847
Ca Dy Pa P
2 1 1 4
Cartesian
-3.751 1.268 -0.977 Ca
-2.501 -2.430 -2.098 Ca
0.739 -0.754 -3.922 Dy
0.000 0.000 0.000 Pa
-1.386 0.327 -2.397 P
-4.127 -2.243 -4.599 P
-4.886 -1.413 -0.594 P
-0.116 -3.447 -3.602 P
```

Values from the calculation:
The volume comes out at 23.9 A^3/atom. The space-group type is P2/m (10). Its density of states at the Fermi level is 0.004 states/eV per atom. Its total energy is -6.309 eV/atom.

VASP calculation (PBE) on crystalline Ca3DyPa2P6 at its relaxed geometry.

The structure in POSCAR format:
```
Ca3DyPa2P6
1.0
-3.159 4.071 -4.790
-2.679 -6.314 1.565
-1.748 3.498 5.847
Ca Dy Pa P
3 1 2 6
Cartesian
-3.632 -2.852 3.440 Ca
-3.954 4.106 -0.818 Ca
-3.793 0.627 1.311 Ca
0.000 0.000 0.000 Dy
-2.839 -2.855 -0.551 Pa
-2.999 0.612 -2.674 Pa
-5.821 2.776 0.990 P
-4.700 -0.843 -1.023 P
-1.765 -1.522 1.632 P
-5.658 -0.767 3.158 P
-2.886 2.097 3.644 P
-1.928 2.022 -0.537 P
```

Values from the calculation:
The volume comes out at 23.7 A^3/atom. The space-group type is C2/m (12). Its density of states at the Fermi level is 0.460 states/eV per atom. Its total energy is -6.496 eV/atom.

VASP calculation (PBE) on crystalline CaDyPa2P4 at its relaxed geometry.

The structure in POSCAR format:
```
CaDyPa2P4
1.0
5.646 0.003 0.000
-0.003 5.646 0.000
-2.822 -2.825 5.684
Ca Dy Pa P
1 1 2 4
Cartesian
2.822 2.825 0.000 Ca
2.823 0.001 2.842 Dy
-0.001 2.823 2.842 Pa
-2.822 -2.825 5.684 Pa
-0.001 2.823 0.038 P
-0.001 2.823 5.646 P
2.822 2.825 2.909 P
0.000 0.000 2.776 P
```

Values from the calculation:
The volume comes out at 22.7 A^3/atom. The space-group type is I-4m2 (119). Its density of states at the Fermi level is 0.976 states/eV per atom. Its total energy is -7.249 eV/atom.

VASP calculation (PBE) on crystalline CaDyP2Pd5 at its relaxed geometry.

The structure in POSCAR format:
```
CaDyP2Pd5
1.0
-3.883 -1.499 -0.329
1.453 -3.878 0.531
-1.045 0.798 8.692
Ca Dy P Pd
1 1 2 5
Cartesian
-0.523 0.399 4.346 Ca
0.000 0.000 0.000 Dy
-1.347 -2.588 1.199 P
-2.128 -1.992 7.694 P
0.456 -1.733 2.513 Pd
-2.212 -0.543 2.083 Pd
-0.049 -1.348 6.710 Pd
-2.716 -0.158 6.280 Pd
-1.738 -2.290 4.447 Pd
```

Values from the calculation:
The volume comes out at 17.0 A^3/atom. The space-group type is P4/mmm (123). Its density of states at the Fermi level is 0.250 states/eV per atom. Its total energy is -5.679 eV/atom.

VASP calculation (PBE) on crystalline CaDy2PuP4 at its relaxed geometry.

The structure in POSCAR format:
```
CaDy2PuP4
1.0
-1.564 1.187 -3.526
-4.546 -5.245 0.251
-2.775 5.578 3.109
Ca Dy Pu P
1 2 1 4
Cartesian
-3.055 -2.029 -1.637 Ca
-2.170 3.383 -0.209 Dy
-3.661 0.166 1.680 Dy
0.000 0.000 0.000 Pu
-2.571 0.710 -0.930 P
-6.315 0.810 0.764 P
-3.159 2.921 2.385 P
-4.163 -2.589 0.975 P
```

Values from the calculation:
The volume comes out at 23.0 A^3/atom. The space-group type is P2/m (10). Its density of states at the Fermi level is 1.506 states/eV per atom. Its total energy is -7.212 eV/atom.

VASP calculation (PBE) on crystalline Ca2DyP3Rh12 at its relaxed geometry.

The structure in POSCAR format:
```
Ca2DyP3Rh12
1.0
6.442 -1.395 -0.989
1.969 6.291 -0.989
1.969 1.146 6.264
Ca Dy P Rh
2 1 3 12
Cartesian
6.391 3.720 2.639 Ca
3.988 2.322 1.647 Ca
0.000 0.000 0.000 Dy
3.221 -0.697 -0.495 P
0.984 3.145 -0.495 P
0.984 0.573 3.132 P
4.879 2.840 5.038 Rh
7.547 4.393 0.502 Rh
5.402 5.611 3.980 Rh
7.361 1.431 1.015 Rh
7.547 1.926 3.980 Rh
4.879 5.694 1.015 Rh
5.500 3.202 -0.753 Rh
2.833 1.649 3.783 Rh
4.978 0.431 0.305 Rh
3.019 4.611 3.271 Rh
2.833 4.116 0.305 Rh
5.500 0.348 3.271 Rh
```

Values from the calculation:
The volume comes out at 16.2 A^3/atom. The space-group type is R-3m (166). Its density of states at the Fermi level is 0.992 states/eV per atom. Its total energy is -6.576 eV/atom.

VASP calculation (PBE) on crystalline CaDyP2Rh5 at its relaxed geometry.

The structure in POSCAR format:
```
CaDyP2Rh5
1.0
4.020 0.000 0.000
0.000 4.020 0.000
0.000 0.000 10.850
Ca Dy P Rh
1 1 2 5
Cartesian
0.000 0.000 5.425 Ca
0.000 0.000 0.000 Dy
2.010 2.010 3.176 P
2.010 2.010 7.674 P
0.000 2.010 2.114 Rh
2.010 0.000 2.114 Rh
0.000 2.010 8.736 Rh
2.010 0.000 8.736 Rh
2.010 2.010 5.425 Rh
```

Values from the calculation:
The volume comes out at 19.5 A^3/atom. The space-group type is P4/mmm (123). Its density of states at the Fermi level is 0.594 states/eV per atom. Its total energy is -6.677 eV/atom.

VASP calculation (PBE) on crystalline CaDyPS at its relaxed geometry.

The structure in POSCAR format:
```
CaDyPS
1.0
4.035 0.000 0.000
2.018 3.495 0.000
2.018 1.165 6.637
Ca Dy P S
1 1 1 1
Cartesian
4.035 2.330 3.279 Ca
6.053 3.495 0.073 Dy
2.018 1.165 1.570 P
6.053 3.495 5.033 S
```

Values from the calculation:
The volume comes out at 23.4 A^3/atom. The space-group type is R3m (160). The calculation puts the uncorrected formation energy at -1799 meV per atom.

VASP calculation (PBE) on crystalline CaDyP2S8 at its relaxed geometry.

The structure in POSCAR format:
```
CaDyP2S8
1.0
5.976 0.000 0.000
-2.988 5.176 0.000
0.000 0.000 9.076
Ca Dy P S
1 1 2 8
Cartesian
0.000 0.000 0.000 Ca
0.000 0.000 4.538 Dy
2.988 1.725 2.138 P
0.000 3.450 6.938 P
0.000 3.450 8.976 S
1.010 1.750 2.693 S
0.967 5.175 2.693 S
2.988 1.725 0.100 S
2.021 0.000 6.384 S
1.978 3.425 6.384 S
4.966 1.750 6.384 S
-1.978 3.426 2.693 S
```

Values from the calculation:
The volume comes out at 23.4 A^3/atom. The space-group type is P-3 (147). Its density of states at the Fermi level is 1.049 states/eV per atom. The calculation puts the uncorrected formation energy at -734 meV per atom.

VASP calculation (PBE) on crystalline Ca3DySb2P at its relaxed geometry.

The structure in POSCAR format:
```
Ca3DySb2P
1.0
5.270 0.000 0.000
0.000 5.181 0.000
-2.635 -2.590 8.124
Ca Dy Sb P
3 1 2 1
Cartesian
0.000 2.590 0.000 Ca
0.000 0.000 2.837 Ca
2.635 2.590 5.288 Ca
2.635 0.000 0.000 Dy
2.635 2.590 2.154 Sb
0.000 0.000 5.970 Sb
0.000 0.000 0.000 P
```

Values from the calculation:
The volume comes out at 31.7 A^3/atom. The space-group type is Immm (71). Its density of states at the Fermi level is 0.033 states/eV per atom. The calculation puts the uncorrected formation energy at -1033 meV per atom.

VASP calculation (PBE) on crystalline CaDyTh2P4 at its relaxed geometry.

The structure in POSCAR format:
```
CaDyTh2P4
1.0
-1.257 -2.839 2.723
6.299 -3.356 -0.590
0.340 4.804 5.165
Ca Dy Th P
1 1 2 4
Cartesian
2.521 -3.097 1.067 Ca
0.000 0.000 0.000 Dy
-0.458 0.983 3.944 Th
3.320 0.724 2.287 Th
1.003 -1.057 2.493 P
4.379 -0.334 4.805 P
1.800 2.767 3.716 P
4.840 -1.319 0.859 P
```

Values from the calculation:
The volume comes out at 24.6 A^3/atom. The space-group type is P2/m (10). Its density of states at the Fermi level is 0.204 states/eV per atom. Its total energy is -6.882 eV/atom.

VASP calculation (PBE) on crystalline CaDyTm2P4 at its relaxed geometry.

The structure in POSCAR format:
```
CaDyTm2P4
1.0
-2.135 -2.552 -2.202
3.840 -5.265 2.379
-5.460 0.943 4.202
Ca Dy Tm P
1 1 2 4
Cartesian
0.852 -3.909 0.089 Ca
0.000 0.000 0.000 Dy
-3.798 -0.805 1.000 Tm
-0.810 -2.161 3.291 Tm
-1.516 -2.342 0.569 P
-2.240 -4.533 3.811 P
-3.107 -0.575 3.679 P
1.486 -3.747 2.903 P
```

Values from the calculation:
The volume comes out at 22.7 A^3/atom. The space-group type is P2/m (10). Its density of states at the Fermi level is 0.480 states/eV per atom. Its total energy is -6.050 eV/atom.

VASP calculation (PBE) on crystalline Ca3DyU2P6 at its relaxed geometry.

The structure in POSCAR format:
```
Ca3DyU2P6
1.0
-3.179 4.466 -4.357
-1.260 -6.870 -0.498
-3.547 1.412 5.911
Ca Dy U P
3 1 2 6
Cartesian
-3.350 -4.299 1.822 Ca
-4.637 3.306 -0.767 Ca
-3.993 -0.496 0.528 Ca
0.000 0.000 0.000 Dy
-1.899 -3.094 -1.784 U
-2.540 0.690 -3.072 U
-6.411 1.225 0.252 P
-4.065 -1.441 -2.212 P
-1.576 -2.218 0.804 P
-5.753 -2.662 1.575 P
-3.922 0.448 3.267 P
-2.234 1.670 -0.520 P
```

Values from the calculation:
The volume comes out at 23.5 A^3/atom. The space-group type is C2/m (12). Its density of states at the Fermi level is 1.114 states/eV per atom. Its total energy is -6.642 eV/atom.

VASP calculation (PBE) on crystalline Ca3Dy2UP6 at its relaxed geometry.

The structure in POSCAR format:
```
Ca3Dy2UP6
1.0
6.998 -0.001 -0.001
-3.498 6.061 -0.001
-1.168 -2.023 6.657
Ca Dy U P
3 2 1 6
Cartesian
-2.297 4.019 3.328 Ca
4.629 0.019 3.328 Ca
1.166 2.019 3.328 Ca
0.005 4.038 -0.001 Dy
3.495 2.022 -0.001 Dy
0.000 0.000 0.000 U
3.445 2.114 5.129 P
2.393 4.144 1.513 P
-1.114 1.924 1.526 P
0.109 4.041 5.129 P
-0.062 -0.107 5.143 P
2.223 -0.003 1.526 P
```

Values from the calculation:
The volume comes out at 23.5 A^3/atom. The space-group type is C2/m (12). Its total energy is -6.189 eV/atom.

VASP calculation (PBE) on crystalline CaDy2Pa at its relaxed geometry.

The structure in POSCAR format:
```
CaDy2Pa
1.0
-2.567 1.298 1.983
1.604 -1.201 2.862
5.168 8.926 0.848
Ca Pa Dy
1 1 2
Cartesian
2.103 4.511 2.847 Ca
-0.481 0.048 2.423 Pa
4.040 6.978 0.663 Dy
1.128 1.948 0.185 Dy
```

Values from the calculation:
The volume comes out at 31.6 A^3/atom. The space-group type is P4/mmm (123). Its density of states at the Fermi level is 1.645 states/eV per atom. The value obtained for the energy above the most stable polymorph in this dataset is 0.000 eV/atom.

VASP calculation (PBE) on crystalline CaDy2Pa at its relaxed geometry.

The structure in POSCAR format:
```
CaDy2Pa
1.0
3.459 0.000 0.000
1.729 2.995 0.000
1.729 0.998 12.108
Ca Pa Dy
1 1 2
Cartesian
0.000 0.000 0.000 Ca
3.459 1.997 6.054 Pa
1.729 0.998 8.741 Dy
5.188 2.995 3.367 Dy
```

Values from the calculation:
The volume comes out at 31.4 A^3/atom. The space-group type is R-3m (166). Its density of states at the Fermi level is 1.449 states/eV per atom. The value obtained for the energy above the most stable polymorph in this dataset is 0.077 eV/atom.

VASP calculation (PBE) on crystalline CaDyPa at its relaxed geometry.

The structure in POSCAR format:
```
CaDyPa
1.0
3.504 0.048 -0.524
1.807 3.002 -0.507
-0.400 -0.277 18.012
Ca Dy Pa
2 2 2
Cartesian
1.279 1.668 5.242 Ca
2.462 2.351 1.657 Ca
3.447 2.881 8.036 Dy
3.202 2.690 16.220 Dy
3.644 1.012 10.974 Pa
2.781 0.499 13.655 Pa
```

Values from the calculation:
The volume comes out at 31.2 A^3/atom. The space-group type is P1 (1). Its density of states at the Fermi level is 1.759 states/eV per atom. Its total energy is -5.203 eV/atom.

VASP calculation (PBE) on crystalline Ca2DyPaS6 at its relaxed geometry.

The structure in POSCAR format:
```
Ca2DyPaS6
1.0
-2.886 -4.251 4.739
-3.715 -5.544 -2.080
2.922 -6.709 0.917
Ca Dy Pa S
2 1 1 6
Cartesian
-2.215 -8.000 1.786 Ca
2.610 -6.499 0.915 Ca
-3.796 -11.681 2.676 Dy
-2.019 -3.387 0.888 Pa
-1.688 -5.350 2.633 S
-3.348 -7.850 -0.805 S
-4.189 -9.064 3.513 S
-1.609 -10.827 1.323 S
-0.167 -8.660 3.772 S
0.305 -7.990 0.293 S
```

Values from the calculation:
The volume comes out at 26.1 A^3/atom. The space-group type is R3 (146). Its density of states at the Fermi level is 0.000 states/eV per atom. The calculation puts the uncorrected formation energy at -1899 meV per atom.

VASP calculation (PBE) on crystalline CaDy2PaSb4 at its relaxed geometry.

The structure in POSCAR format:
```
CaDy2PaSb4
1.0
4.406 0.000 0.000
0.000 7.629 0.157
0.000 -2.642 7.152
Ca Dy Pa Sb
1 2 1 4
Cartesian
2.203 3.815 0.079 Ca
2.203 -1.321 3.576 Dy
0.000 2.494 3.654 Dy
0.000 0.000 0.000 Pa
2.203 1.218 1.830 Sb
2.203 3.769 5.479 Sb
0.000 -0.130 5.390 Sb
0.000 5.117 1.919 Sb
```

Values from the calculation:
The volume comes out at 30.3 A^3/atom. The space-group type is P2/m (10). Its density of states at the Fermi level is 0.635 states/eV per atom. The calculation puts the uncorrected formation energy at -923 meV per atom.

VASP calculation (PBE) on crystalline Ca4DyPb5 at its relaxed geometry.

The structure in POSCAR format:
```
Ca4DyPb5
1.0
3.599 0.000 0.000
0.000 3.599 0.000
0.000 0.000 22.913
Ca Dy Pb
4 1 5
Cartesian
0.000 0.000 4.559 Ca
0.000 0.000 9.136 Ca
0.000 0.000 13.778 Ca
0.000 0.000 18.355 Ca
0.000 0.000 0.000 Dy
1.799 1.799 2.215 Pb
1.799 1.799 6.834 Pb
1.799 1.799 11.457 Pb
1.799 1.799 16.079 Pb
1.799 1.799 20.699 Pb
```

Values from the calculation:
The volume comes out at 29.7 A^3/atom. The space-group type is P4/mmm (123). Its density of states at the Fermi level is 0.798 states/eV per atom. Its total energy is -3.613 eV/atom.

VASP calculation (PBE) on crystalline CaDyPb at its relaxed geometry.

The structure in POSCAR format:
```
CaDyPb
1.0
5.312 0.000 0.000
-2.656 4.601 0.000
0.000 0.000 7.958
Pb Ca Dy
2 2 2
Cartesian
0.000 0.000 5.682 Pb
0.000 0.000 2.276 Pb
0.000 3.067 6.951 Ca
2.656 1.534 1.007 Ca
2.656 1.534 4.809 Dy
0.000 3.067 3.149 Dy
```

Values from the calculation:
The volume comes out at 32.4 A^3/atom. The space-group type is P-3m1 (164). Its density of states at the Fermi level is 1.020 states/eV per atom. Its total energy is -3.693 eV/atom.